{"formula": "SmZnPt3", "functional": "PBE-GGA", "state": "relaxed", "cell": [[-2.744, 3.852, 4.471], [2.744, -3.852, 4.471], [2.744, 3.852, -4.471]], "species": ["Sm", "Sm", "Zn", "Zn", "Pt", "Pt", "Pt", "Pt", "Pt", "Pt"], "frac_coords": [[0.252, 0.002, 0.250], [0.748, 0.998, 0.750], [0.000, 0.500, 0.500], [0.500, 0.500, 0.000], [0.071, 0.321, 0.750], [0.303, 0.000, 0.803], [0.303, 0.500, 0.303], [0.697, 0.000, 0.197], [0.697, 0.500, 0.697], [0.929, 0.679, 0.250]], "de_polymorph_mev_per_atom": 0.0, "formation_energy_ev_per_fu": -3.72, "mass_density_g_cm3": 14.07, "total_energy_ev_per_cell": -55.67}


{"formula": "SmZnPt", "functional": "PBE-GGA", "state": "relaxed", "cell": [[4.799, 0.000, 0.000], [0.000, 5.432, 0.000], [-2.366, 0.000, 4.968]], "species": ["Sm", "Sm", "Zn", "Zn", "Pt", "Pt"], "frac_coords": [[0.031, 0.250, 0.254], [0.969, 0.750, 0.746], [0.352, 0.250, 0.865], [0.648, 0.750, 0.135], [0.268, 0.750, 0.356], [0.732, 0.250, 0.644]], "formation_energy_ev_per_fu": -2.23, "mass_density_g_cm3": 10.54, "total_energy_ev_per_cell": -28.53}


{"formula": "Sm3ZnPt4", "functional": "PBE-GGA", "state": "relaxed", "cell": [[4.097, 0.000, 0.000], [0.000, 6.294, 0.000], [0.000, 0.000, 14.640]], "species": ["Sm", "Sm", "Sm", "Sm", "Sm", "Sm", "Zn", "Zn", "Pt", "Pt", "Pt", "Pt", "Pt", "Pt", "Pt", "Pt"], "frac_coords": [[0.000, 0.000, 0.000], [0.000, 0.500, 0.192], [0.000, 0.500, 0.808], [0.500, 0.000, 0.308], [0.500, 0.000, 0.692], [0.500, 0.500, 0.500], [0.000, 0.000, 0.500], [0.500, 0.500, 0.000], [0.000, 0.288, 0.379], [0.000, 0.288, 0.621], [0.000, 0.712, 0.379], [0.000, 0.712, 0.621], [0.500, 0.212, 0.121], [0.500, 0.212, 0.879], [0.500, 0.788, 0.121], [0.500, 0.788, 0.879]], "formation_energy_ev_per_fu": -7.62, "mass_density_g_cm3": 11.41, "total_energy_ev_per_cell": -94.43}


{"formula": "Sm2ZnPt3", "functional": "PBE-GGA", "state": "relaxed", "cell": [[7.221, 0.000, 0.000], [0.000, 3.951, 0.000], [0.000, 0.000, 17.313]], "species": ["Sm", "Sm", "Sm", "Sm", "Sm", "Sm", "Sm", "Sm", "Zn", "Zn", "Zn", "Zn", "Pt", "Pt", "Pt", "Pt", "Pt", "Pt", "Pt", "Pt", "Pt", "Pt", "Pt", "Pt"], "frac_coords": [[0.103, 0.250, 0.212], [0.155, 0.250, 0.431], [0.345, 0.750, 0.931], [0.397, 0.750, 0.712], [0.603, 0.250, 0.288], [0.655, 0.250, 0.069], [0.845, 0.750, 0.569], [0.897, 0.750, 0.788], [0.011, 0.750, 0.060], [0.489, 0.250, 0.560], [0.511, 0.750, 0.440], [0.989, 0.250, 0.940], [0.093, 0.250, 0.655], [0.200, 0.250, 0.816], [0.244, 0.250, 0.053], [0.256, 0.750, 0.553], [0.300, 0.750, 0.316], [0.407, 0.750, 0.155], [0.593, 0.250, 0.845], [0.700, 0.250, 0.684], [0.744, 0.250, 0.447], [0.756, 0.750, 0.947], [0.800, 0.750, 0.184], [0.907, 0.750, 0.345]], "de_polymorph_mev_per_atom": 0.0, "formation_energy_ev_per_fu": -6.03, "mass_density_g_cm3": 12.79, "total_energy_ev_per_cell": -139.46}


{"formula": "Sm2ZnPt3", "functional": "PBE-GGA", "state": "relaxed", "cell": [[0.000, 4.462, 7.798], [3.667, 0.000, 7.798], [3.667, 4.462, 0.000]], "species": ["Sm", "Sm", "Sm", "Sm", "Zn", "Zn", "Pt", "Pt", "Pt", "Pt", "Pt", "Pt"], "frac_coords": [[0.248, 0.752, 0.752], [0.250, 0.250, 0.250], [0.750, 0.750, 0.750], [0.752, 0.248, 0.248], [0.334, 0.334, 0.666], [0.666, 0.666, 0.334], [0.173, 0.173, 0.827], [0.173, 0.656, 0.344], [0.344, 0.827, 0.173], [0.656, 0.173, 0.827], [0.827, 0.344, 0.656], [0.827, 0.827, 0.173]], "de_polymorph_mev_per_atom": 59.5, "formation_energy_ev_per_fu": -5.67, "mass_density_g_cm3": 12.38, "total_energy_ev_per_cell": -69.01}


{"formula": "Sm5Zn4Pt", "functional": "PBE-GGA", "state": "relaxed", "cell": [[3.644, 0.000, 0.000], [0.000, 3.644, 0.000], [0.000, 0.000, 17.969]], "species": ["Sm", "Sm", "Sm", "Sm", "Sm", "Zn", "Zn", "Zn", "Zn", "Pt"], "frac_coords": [[0.000, 0.000, 0.000], [0.000, 0.000, 0.203], [0.000, 0.000, 0.406], [0.000, 0.000, 0.594], [0.000, 0.000, 0.797], [0.500, 0.500, 0.102], [0.500, 0.500, 0.300], [0.500, 0.500, 0.700], [0.500, 0.500, 0.898], [0.500, 0.500, 0.500]], "formation_energy_ev_per_fu": -4.87, "mass_density_g_cm3": 8.41, "total_energy_ev_per_cell": -39.61}


{"formula": "Sm2Zn5Pt4", "functional": "PBE-GGA", "state": "relaxed", "cell": [[0.000, 4.688, 8.225], [2.678, 0.000, 8.225], [2.678, 4.688, 0.000]], "species": ["Sm", "Sm", "Zn", "Zn", "Zn", "Zn", "Zn", "Pt", "Pt", "Pt", "Pt"], "frac_coords": [[0.148, 0.148, 0.852], [0.852, 0.852, 0.148], [0.000, 0.000, 0.500], [0.250, 0.250, 0.250], [0.500, 0.500, 0.000], [0.500, 0.500, 0.500], [0.750, 0.750, 0.750], [0.215, 0.528, 0.472], [0.472, 0.785, 0.215], [0.528, 0.215, 0.785], [0.785, 0.472, 0.528]], "formation_energy_ev_per_fu": -7.92, "mass_density_g_cm3": 11.32, "total_energy_ev_per_cell": -47.89}


{"formula": "SmZn3Pt2", "functional": "PBE-GGA", "state": "relaxed", "cell": [[8.531, -2.011, 0.000], [8.531, 2.011, 0.000], [-1.930, 0.000, 9.652]], "species": ["Sm", "Sm", "Sm", "Zn", "Zn", "Zn", "Zn", "Zn", "Zn", "Zn", "Zn", "Zn", "Pt", "Pt", "Pt", "Pt", "Pt", "Pt"], "frac_coords": [[0.000, 0.000, 0.000], [0.157, 0.157, 0.715], [0.843, 0.843, 0.285], [0.054, 0.054, 0.348], [0.218, 0.218, 0.388], [0.345, 0.345, 0.043], [0.366, 0.366, 0.791], [0.500, 0.500, 0.500], [0.634, 0.634, 0.209], [0.655, 0.655, 0.957], [0.782, 0.782, 0.612], [0.946, 0.946, 0.652], [0.209, 0.209, 0.118], [0.360, 0.360, 0.527], [0.475, 0.475, 0.222], [0.525, 0.525, 0.778], [0.640, 0.640, 0.473], [0.791, 0.791, 0.882]], "formation_energy_ev_per_fu": -4.09, "mass_density_g_cm3": 11.08, "total_energy_ev_per_cell": -74.15}


{"formula": "Sm2Zn3Pt", "functional": "PBE-GGA", "state": "relaxed", "cell": [[0.000, 4.505, 7.729], [3.628, 0.000, 7.729], [3.628, 4.505, 0.000]], "species": ["Sm", "Sm", "Sm", "Sm", "Zn", "Zn", "Zn", "Zn", "Zn", "Zn", "Pt", "Pt"], "frac_coords": [[0.241, 0.759, 0.759], [0.250, 0.250, 0.250], [0.750, 0.750, 0.750], [0.759, 0.241, 0.241], [0.169, 0.665, 0.335], [0.335, 0.335, 0.665], [0.335, 0.831, 0.169], [0.665, 0.169, 0.831], [0.665, 0.665, 0.335], [0.831, 0.335, 0.665], [0.166, 0.166, 0.834], [0.834, 0.834, 0.166]], "de_polymorph_mev_per_atom": 5.2, "formation_energy_ev_per_fu": -3.71, "mass_density_g_cm3": 9.10, "total_energy_ev_per_cell": -46.02}


{"formula": "Sm2Zn2Pt", "functional": "PBE-GGA", "state": "relaxed", "cell": [[5.163, -2.196, 0.000], [5.163, 2.196, 0.000], [-4.307, 0.000, 9.890]], "species": ["Sm", "Sm", "Sm", "Sm", "Zn", "Zn", "Zn", "Zn", "Pt", "Pt"], "frac_coords": [[0.014, 0.014, 0.338], [0.196, 0.196, 0.119], [0.804, 0.804, 0.881], [0.986, 0.986, 0.662], [0.353, 0.353, 0.446], [0.483, 0.483, 0.111], [0.517, 0.517, 0.889], [0.647, 0.647, 0.554], [0.279, 0.279, 0.671], [0.721, 0.721, 0.329]], "formation_energy_ev_per_fu": -3.26, "mass_density_g_cm3": 9.28, "total_energy_ev_per_cell": -42.58}


{"formula": "Sm3ZnPt", "functional": "PBE-GGA", "state": "relaxed", "cell": [[3.372, 1.947, 7.741], [-3.372, 1.947, 7.741], [0.000, -3.893, 7.741]], "species": ["Sm", "Sm", "Sm", "Sm", "Sm", "Sm", "Zn", "Zn", "Pt", "Pt"], "frac_coords": [[0.080, 0.416, 0.741], [0.259, 0.584, 0.920], [0.416, 0.741, 0.080], [0.584, 0.920, 0.259], [0.741, 0.080, 0.416], [0.920, 0.259, 0.584], [0.163, 0.163, 0.163], [0.837, 0.837, 0.837], [0.333, 0.333, 0.333], [0.667, 0.667, 0.667]], "formation_energy_ev_per_fu": -1.92, "mass_density_g_cm3": 7.75, "total_energy_ev_per_cell": -46.79}


{"formula": "SmZn9Pt2", "functional": "PBE-GGA", "state": "relaxed", "cell": [[8.787, 0.000, 0.000], [-4.393, 7.610, 0.000], [0.000, 0.000, 2.988]], "species": ["Sm", "Zn", "Zn", "Zn", "Zn", "Zn", "Zn", "Zn", "Zn", "Zn", "Pt", "Pt"], "frac_coords": [[0.000, 0.000, 0.000], [0.000, 0.500, 0.000], [0.184, 0.368, 0.500], [0.184, 0.816, 0.500], [0.368, 0.184, 0.500], [0.500, 0.000, 0.000], [0.500, 0.500, 0.000], [0.632, 0.816, 0.500], [0.816, 0.184, 0.500], [0.816, 0.632, 0.500], [0.333, 0.667, 0.000], [0.667, 0.333, 0.000]], "de_polymorph_mev_per_atom": 109.3, "formation_energy_ev_per_fu": -3.62, "mass_density_g_cm3": 9.38, "total_energy_ev_per_cell": -31.89}